1.
TlNiPt2 after structural relaxation. Source: Alexandria, functional GGA-PBE.

The structure in POSCAR format:
```
TlNiPt2
1.0
4.019 0.000 0.000
0.000 4.019 0.000
0.000 0.000 4.019
Tl Ni Pt
1 1 2
Direct
0.000 0.000 0.000
0.500 0.500 0.000
0.000 0.500 0.500
0.500 0.000 0.500
```

**Formation energy from the elements**: 0.02 eV/atom

=====

2.
Tl2NiPt after structural relaxation. Source: Alexandria, functional GGA-PBE.

The structure in POSCAR format:
```
Tl2NiPt
1.0
-2.149 2.149 9.192
2.149 -2.149 9.192
2.149 2.149 -9.192
Tl Ni Pt
4 2 2
Direct
0.116 0.625 0.991
0.375 0.366 0.491
0.634 0.125 0.009
0.875 0.884 0.509
0.000 0.000 0.000
0.750 0.250 0.500
0.250 0.750 0.500
0.500 0.500 0.000
```

**Formation energy from the elements**: 0.42 eV/atom

=====

3.
TlNiPt2 after structural relaxation. Source: Alexandria, functional GGA-PBE.

The structure in POSCAR format:
```
TlNiPt2
1.0
-2.060 2.060 3.828
2.060 -2.060 3.828
2.060 2.060 -3.828
Tl Ni Pt
1 1 2
Direct
0.000 0.000 0.000
0.750 0.250 0.500
0.250 0.750 0.500
0.500 0.500 0.000
```

**Formation energy from the elements**: 0.07 eV/atom

=====

4.
TlNiPt2 after structural relaxation. Source: Alexandria, functional GGA-PBE.

The structure in POSCAR format:
```
TlNiPt2
1.0
-2.028 2.028 3.933
2.028 -2.028 3.933
2.028 2.028 -3.933
Tl Ni Pt
1 1 2
Direct
0.000 0.000 0.000
0.500 0.500 0.000
0.250 0.750 0.500
0.750 0.250 0.500
```

**Formation energy from the elements**: 0.03 eV/atom

=====

Which of these has the lowest formation energy from the elements? number 1